Material: AlSi2Os
Method: DFT, SCAN
State: single point on PBEsol structure

Values from the calculation:
formation energy from raw total energies = -107.2 meV per atom
ρ = 8389 kg/m³
volume = 13.529 Å³/atom

Unit cell a=8.4651 b=2.9532 c=4.3529 alpha=90.00 beta=95.95 gamma=90.00
Closest atoms and distances in Å follow each position.
Space group Cm (No. 8)
Unique sites:
Al: 0.0000 0.0000 0.0000 x2  5 Si 2.41-2.67, 1 Os 2.55
Si: 0.0211 0.5000 0.5132 x2  1 Si 2.41, 3 Os 2.54-2.56, 4 Al 2.60-2.67
Si: 0.2605 0.5000 0.2564 x2  1 Al 2.41, 1 Si 2.41, 2 Os 2.54
Os: 0.2539 0.0000 0.7297 x2  7 Si 2.54-2.72, 3 Al 2.55-2.72